MnHg2N | Alexandria | GGA-PBE | relaxed; ΔE_f (raw) = 448 meV/atom; symmetry = I-42d, No. 122; total moment = 3.325 μB/f.u.; total DFT energy (no corrections) = -4.0769 eV per atom
1.0
-4.358 7.225 -4.722
-8.425 -2.413 4.084
-6.040 3.522 1.065
Mn Hg N
2 4 2
Cartesian
0.000 0.000 0.000
-8.395 6.576 -1.988
-4.747 4.199 -1.589
-7.860 1.170 1.644
-10.368 4.147 1.066
-14.672 7.151 -0.265
-6.392 2.406 -0.319
-10.429 1.757 2.415